Entry 1:
KBa2Li2 (GGA-PBE, relaxed); DOS at the Fermi energy = 0.866 states/eV per atom; E above lowest polymorph = 44 meV/atom; magnetic moment = 0.0 μB/cell; ΔH_f (0 K) = 0.12 eV/atom; symmetry = I4/mmm, No. 139; raw total energy = -1.63 eV/atom
1.0
4.213 0.000 0.000
0.000 4.213 0.000
0.000 0.000 27.155
K Ba Li
2 4 4
direct
0.000 0.000 0.000
0.500 0.500 0.500
0.000 0.000 0.364
0.000 0.000 0.636
0.500 0.500 0.136
0.500 0.500 0.864
0.000 0.500 0.250
0.000 0.500 0.750
0.500 0.000 0.250
0.500 0.000 0.750

Entry 2:
KBa2Li (GGA-PBE, relaxed); DOS at the Fermi energy = 1.005 states/eV per atom; magnetic moment = 0.0 μB/cell; ΔH_f (0 K) = 0.12 eV/atom; symmetry = Cm, No. 8; raw total energy = -1.60 eV/atom
1.0
15.624 0.000 0.000
0.000 4.494 0.000
-3.079 0.000 6.219
K Ba Li
2 4 2
direct
0.000 0.000 0.000
0.500 0.500 0.000
0.085 0.500 0.585
0.290 0.500 0.290
0.585 0.000 0.585
0.790 0.000 0.290
0.295 0.000 0.794
0.795 0.500 0.794

Entry 3:
K2BaLi (GGA-PBE, relaxed); DOS at the Fermi energy = 1.134 states/eV per atom; E above lowest polymorph = 103 meV/atom; magnetic moment = 0.8 μB/cell; ΔH_f (0 K) = 0.18 eV/atom; symmetry = C2/m, No. 12; raw total energy = -1.32 eV/atom
1.0
8.101 0.000 0.000
0.000 14.694 0.000
-1.952 0.000 3.823
K Ba Li
4 2 2
direct
0.250 0.250 0.000
0.250 0.750 0.000
0.750 0.250 0.000
0.750 0.750 0.000
0.000 0.000 0.500
0.500 0.500 0.500
0.000 0.500 0.500
0.500 0.000 0.500

Entry 4:
K2BaLi (GGA-PBE, relaxed); DOS at the Fermi energy = 0.865 states/eV per atom; E above lowest polymorph = 138 meV/atom; magnetic moment = 0.0 μB/cell; ΔH_f (0 K) = 0.22 eV/atom; symmetry = I-42d, No. 122; raw total energy = -1.29 eV/atom
1.0
5.540 0.000 0.000
0.000 5.540 0.000
0.000 0.000 30.220
K Ba Li
8 4 4
direct
0.227 0.250 0.125
0.250 0.727 0.375
0.250 0.773 0.875
0.273 0.250 0.625
0.727 0.750 0.625
0.750 0.227 0.875
0.750 0.273 0.375
0.773 0.750 0.125
0.000 0.000 0.500
0.000 0.500 0.750
0.500 0.000 0.250
0.500 0.500 0.000
0.000 0.000 0.000
0.000 0.500 0.250
0.500 0.000 0.750
0.500 0.500 0.500

Entry 5:
K2BaLi (GGA-PBE, relaxed); DOS at the Fermi energy = 1.040 states/eV per atom; E above lowest polymorph = 74 meV/atom; magnetic moment = 0.0 μB/cell; ΔH_f (0 K) = 0.15 eV/atom; symmetry = P4/mmm, No. 123; raw total energy = -1.35 eV/atom
1.0
4.416 0.000 0.000
0.000 4.416 0.000
0.000 0.000 11.614
K Ba Li
2 1 1
direct
0.000 0.000 0.199
0.000 0.000 0.801
0.500 0.500 0.500
0.500 0.500 0.000

Entry 6:
K2BaLi (GGA-PBE, relaxed); DOS at the Fermi energy = 1.098 states/eV per atom; E above lowest polymorph = 87 meV/atom; magnetic moment = 0.0 μB/cell; ΔH_f (0 K) = 0.17 eV/atom; symmetry = P2/m, No. 10; raw total energy = -1.34 eV/atom
1.0
4.379 0.000 0.000
0.000 7.097 0.000
-0.900 0.000 7.281
K Ba Li
2 1 1
direct
0.194 0.000 0.268
0.806 0.000 0.732
0.500 0.500 0.000
0.000 0.500 0.500

Entry 7:
KBa2Li2 (GGA-PBE, relaxed); DOS at the Fermi energy = 1.240 states/eV per atom; E above lowest polymorph = 0 meV/atom; magnetic moment = 0.0 μB/cell; ΔH_f (0 K) = 0.08 eV/atom; symmetry = P4/mbm, No. 127; raw total energy = -1.67 eV/atom
1.0
9.850 0.000 0.000
0.000 9.850 0.000
0.000 0.000 5.040
K Ba Li
2 4 4
direct
0.000 0.000 0.000
0.500 0.500 0.000
0.167 0.333 0.500
0.333 0.833 0.500
0.667 0.167 0.500
0.833 0.667 0.500
0.117 0.617 0.000
0.383 0.117 0.000
0.617 0.883 0.000
0.883 0.383 0.000

Entry 8:
K2BaLi (GGA-PBE, relaxed); DOS at the Fermi energy = 0.929 states/eV per atom; E above lowest polymorph = 86 meV/atom; magnetic moment = 0.0 μB/cell; ΔH_f (0 K) = 0.17 eV/atom; symmetry = I-4m2, No. 119; raw total energy = -1.34 eV/atom
1.0
6.763 0.000 0.000
0.000 6.763 0.000
0.000 0.000 9.760
K Ba Li
4 2 2
direct
0.000 0.000 0.000
0.000 0.500 0.250
0.500 0.000 0.750
0.500 0.500 0.500
0.000 0.000 0.500
0.500 0.500 0.000
0.000 0.500 0.750
0.500 0.000 0.250

Entry 9:
KBa2Li (GGA-PBE, relaxed); DOS at the Fermi energy = 1.098 states/eV per atom; magnetic moment = 0.0 μB/cell; ΔH_f (0 K) = 0.09 eV/atom; symmetry = Pm, No. 6; raw total energy = -1.62 eV/atom
1.0
4.432 0.000 0.000
0.000 4.406 0.000
-0.007 0.000 11.304
K Ba Li
1 2 1
direct
0.000 0.000 0.000
0.002 0.000 0.603
0.502 0.500 0.309
0.502 0.500 0.797

Entry 10:
K2BaLi (GGA-PBE, relaxed); DOS at the Fermi energy = 1.087 states/eV per atom; E above lowest polymorph = 87 meV/atom; magnetic moment = 0.0 μB/cell; ΔH_f (0 K) = 0.17 eV/atom; symmetry = R-3m, No. 166; raw total energy = -1.34 eV/atom
1.0
4.421 0.000 0.000
-2.211 3.829 0.000
0.000 0.000 40.835
K Ba Li
6 3 3
direct
0.000 0.000 0.239
0.000 0.000 0.761
0.333 0.667 0.428
0.333 0.667 0.905
0.667 0.333 0.095
0.667 0.333 0.572
0.000 0.000 0.000
0.333 0.667 0.667
0.667 0.333 0.333
0.000 0.000 0.500
0.333 0.667 0.167
0.667 0.333 0.833

Entry 11:
K2BaLi (GGA-PBE, relaxed); DOS at the Fermi energy = 1.056 states/eV per atom; E above lowest polymorph = 129 meV/atom; magnetic moment = 0.0 μB/cell; ΔH_f (0 K) = 0.21 eV/atom; symmetry = Cmmm, No. 65; raw total energy = -1.30 eV/atom
1.0
8.172 0.000 0.000
0.000 13.174 0.000
0.000 0.000 4.372
K Ba Li
4 2 2
direct
0.250 0.250 0.000
0.250 0.750 0.000
0.750 0.250 0.000
0.750 0.750 0.000
0.000 0.000 0.500
0.500 0.500 0.500
0.000 0.500 0.500
0.500 0.000 0.500

Entry 12:
K2BaLi (GGA-PBE, relaxed); DOS at the Fermi energy = 1.066 states/eV per atom; E above lowest polymorph = 42 meV/atom; magnetic moment = 0.0 μB/cell; ΔH_f (0 K) = 0.12 eV/atom; symmetry = C2/m, No. 12; raw total energy = -1.38 eV/atom
1.0
16.085 0.000 0.000
0.000 4.524 0.000
-2.833 0.000 6.134
K Ba Li
4 2 2
direct
0.209 0.000 0.209
0.291 0.500 0.791
0.709 0.500 0.209
0.791 0.000 0.791
0.000 0.000 0.500
0.500 0.500 0.500
0.000 0.500 0.000
0.500 0.000 0.000